{"formula": "NiSnF3", "functional": "PBE with a Hubbard U", "state": "relaxed", "lattice_angstrom": [[-2.4844, 0.3235, -3.7685], [1.5606, -4.0194, -1.3738], [-3.4454, -2.0538, 2.0951]], "species": ["F", "F", "F", "Sn", "Ni"], "frac_coords": [[0.0000, 0.5000, 0.0000], [0.5000, 0.0000, 0.0000], [0.0000, 0.0000, 0.5000], [0.0000, 0.0000, 0.0000], [0.5000, 0.5000, 0.5000]], "space_group": "Pm-3m (221)", "n_ef_per_ev_cell": 5.07, "e_tot_ev_per_atom": -3.421}